Cs12Pb2Au5 after structural relaxation, computed with PBE.

Properties
As for the density of states at the Fermi level: 13.38 states/eV per cell. As for the energy of formation: -0.1852 eV/atom.

Structure (CIF):
```
data_Cs12Pb2Au5
_space_group_name_H-M_alt 'P 1'
_space_group_IT_number 1
_cell_length_a 11.315
_cell_length_b 9.483
_cell_length_c 12.261
_cell_angle_alpha 67.25
_cell_angle_beta 67.63
_cell_angle_gamma 90.00
loop_
_space_group_symop_operation_xyz
'x,y,z'
loop_
_atom_site_label
_atom_site_type_symbol
_atom_site_fract_x
_atom_site_fract_y
_atom_site_fract_z
Cs1 Cs 0.201 0.971 0.575
Cs2 Cs 0.426 0.868 0.790
Cs3 Cs 0.574 0.132 0.210
Au1 Au 0.968 0.725 0.550
Au2 Au 0.507 0.249 0.502
Au3 Au 0.493 0.751 0.498
Cs4 Cs 0.132 0.444 0.112
Cs5 Cs 0.175 0.895 0.211
Cs6 Cs 0.426 0.342 0.790
Cs7 Cs 0.574 0.658 0.210
Pb1 Pb 0.000 0.841 0.000
Pb2 Pb 0.000 0.159 0.000
Cs8 Cs 0.799 0.029 0.425
Au4 Au 0.500 0.000 0.000
Cs9 Cs 0.201 0.454 0.575
Cs10 Cs 0.825 0.105 0.789
Au5 Au 0.032 0.275 0.450
Cs11 Cs 0.868 0.556 0.888
Cs12 Cs 0.799 0.546 0.425
```